# MgSi3H

A relaxed structure of MgSi3H (PBE, Alexandria).

abc: 4.9487 4.9487 4.9487
angles: 90.00 90.00 90.00
Site moments in Bohr magnetons follow the coordinates.
Sites, in units of the cell vectors:
Mg (0.0000, 0.0000, 0.0000)  0.00
Si (0.5000, 0.0000, 0.0000)  -0.01
Si (0.0000, 0.0000, 0.5000)  -0.01
Si (0.0000, 0.5000, 0.0000)  0.00
H (0.5000, 0.5000, 0.5000)  0.26

E above lowest polymorph: 1195 meV per atom
VASP energy: -13.077 eV/f.u.